# 1
# Ce2ZnGe3Pt4

An optimized crystal structure of Ce2ZnGe3Pt4 (GGA-PBE, Alexandria via LeMat-Bulk).

Values from the calculation:
ΔE_f   -0.881 eV per atom
E   -6.00 eV per atom

a = 4.3351 Å, b = 4.3351 Å, c = 10.2102 Å
α = 90.00°, β = 90.00°, γ = 90.00°
Closest atoms and distances in Å follow each position.
Atoms (fractional coordinates):
Ce 0.0000 0.5000 0.2470  8 Pt 3.29-3.37, 6 Ge 3.31-3.33, 2 Zn 3.33
Ce 0.5000 0.0000 0.7530  8 Pt 3.29-3.37, 6 Ge 3.31-3.33, 2 Zn 3.33
Zn 0.5000 0.5000 0.0000  4 Pt 2.55
Ge 0.0000 0.0000 0.0000  4 Pt 2.55
Ge 0.0000 0.5000 0.6298  5 Pt 2.44-2.54
Ge 0.5000 0.0000 0.3702  5 Pt 2.44-2.54
Pt 0.0000 0.0000 0.5000  4 Ge 2.54
Pt 0.0000 0.5000 0.8689  3 Ge 2.44-2.55, 2 Zn 2.55
Pt 0.5000 0.0000 0.1311  3 Ge 2.44-2.55, 2 Zn 2.55
Pt 0.5000 0.5000 0.5000  4 Ge 2.54

=====

# 2
# Ta3CoOs2

An optimized crystal structure of Ta3CoOs2 (GGA-PBE, Alexandria via LeMat-Bulk).

Values from the calculation:
ΔE_f   -0.248 eV per atom
E   -11.10 eV per atom

a = 7.1040 Å, b = 7.1040 Å, c = 6.2925 Å
α = 90.00°, β = 90.00°, γ = 143.81°
Closest atoms and distances in Å follow each position.
Atoms (fractional coordinates):
Ta 0.0000 0.0000 0.2485  2 Co 2.48, 6 Os 2.70-2.75
Ta 0.0000 0.0000 0.7515  2 Co 2.48, 6 Os 2.70-2.75
Ta 0.3257 0.6743 0.2663  3 Co 2.69-2.89, 5 Os 2.72-2.89, 3 Ta 2.94-3.01
Ta 0.3257 0.6743 0.7337  3 Co 2.69-2.89, 5 Os 2.72-2.89, 3 Ta 2.94-3.01
Ta 0.6743 0.3257 0.2663  3 Co 2.69-2.89, 5 Os 2.72-2.89, 3 Ta 2.94-3.01
Ta 0.6743 0.3257 0.7337  3 Co 2.69-2.89, 5 Os 2.72-2.89, 3 Ta 2.94-3.01
Co 0.1414 0.8586 0.5000  6 Ta 2.48-2.69
Co 0.8586 0.1414 0.5000  6 Ta 2.48-2.69
Os 0.1673 0.8327 0.0000  8 Ta 2.72-2.77
Os 0.5000 0.5000 0.0000  8 Ta 2.70-2.89
Os 0.5000 0.5000 0.5000  8 Ta 2.72-2.78, 4 Co 2.92
Os 0.8327 0.1673 0.0000  8 Ta 2.72-2.77

=====

# 3
# Cd2Bi2Se

An optimized crystal structure of Cd2Bi2Se (GGA-PBE, Alexandria via LeMat-Bulk).

Values from the calculation:
ΔE_f (raw)   0.52 eV/f.u.
Excess energy over the best structure of this formula in the dataset   46 meV/atom
E   -2.51 eV per atom

a = 8.8200 Å, b = 8.8200 Å, c = 8.8200 Å
α = 153.28°, β = 153.28°, γ = 38.15°
Closest atoms and distances in Å follow each position.
Atoms (fractional coordinates):
Cd 0.2500 0.7500 0.5000  4 Cd 2.88, 4 Bi 3.23
Cd 0.7500 0.2500 0.5000  4 Cd 2.88, 4 Bi 3.23
Bi 0.1000 0.1000 0.0000  4 Cd 3.23, 4 Se 3.33, 1 Bi 3.33
Bi 0.9000 0.9000 0.0000  4 Cd 3.23, 4 Se 3.33, 1 Bi 3.33
Se 0.5000 0.5000 0.0000  8 Bi 3.33

=====

# 4
# La3OsSeCl

An optimized crystal structure of La3OsSeCl (GGA-PBE, Alexandria via LeMat-Bulk).

Values from the calculation:
ΔE_f (raw)   -7.56 eV/f.u.
E   -6.48 eV per atom

a = 7.7971 Å, b = 4.3027 Å, c = 10.5767 Å
α = 90.00°, β = 93.80°, γ = 90.00°
Closest atoms and distances in Å follow each position.
Atoms (fractional coordinates):
La 0.0510 0.2500 0.1969  2 Os 2.83, 1 Se 3.10, 1 Cl 3.13
La 0.2218 0.7500 0.5024  3 Os 2.95-3.01, 3 Se 3.23-3.27
La 0.3861 0.2500 0.8034  1 Os 2.62
La 0.6139 0.7500 0.1966  1 Os 2.62
La 0.7782 0.2500 0.4976  3 Os 2.95-3.01, 3 Se 3.23-3.27
La 0.9490 0.7500 0.8031  2 Os 2.83, 1 Se 3.10, 1 Cl 3.13
Os 0.0909 0.2500 0.6707  3 La 2.62-2.83
Os 0.9091 0.7500 0.3293  3 La 2.62-2.83
Se 0.4182 0.2500 0.3286  6 La 3.03-3.27
Se 0.5818 0.7500 0.6714  6 La 3.03-3.27
Cl 0.2746 0.7500 0.9921  4 La 3.10-3.30
Cl 0.7254 0.2500 0.0079  4 La 3.10-3.30

=====

# 5
# Tb3Mn3Ga2Ge

An optimized crystal structure of Tb3Mn3Ga2Ge (GGA-PBE, Alexandria via LeMat-Bulk).

Values from the calculation:
ΔE_f   -0.350 eV per atom
E   -6.14 eV per atom

a = 7.0481 Å, b = 7.0481 Å, c = 4.1589 Å
α = 90.00°, β = 90.00°, γ = 120.00°
Closest atoms and distances in Å follow each position.
Atoms (fractional coordinates):
Tb 0.0018 0.5842 0.0000  3 Ga 2.94-2.98, 2 Ge 2.96, 4 Mn 3.23-3.26
Tb 0.4158 0.4176 0.0000  3 Ga 2.94-2.98, 2 Ge 2.96, 4 Mn 3.23-3.26
Tb 0.5824 0.9982 0.0000  3 Ga 2.94-2.98, 2 Ge 2.96, 4 Mn 3.23-3.26
Mn 0.0046 0.2343 0.5000  3 Ga 2.65-2.80, 1 Ge 2.76, 2 Mn 2.83
Mn 0.2297 0.9954 0.5000  3 Ga 2.65-2.80, 1 Ge 2.76, 2 Mn 2.83
Mn 0.7657 0.7703 0.5000  3 Ga 2.65-2.80, 1 Ge 2.76, 2 Mn 2.83
Ga 0.0000 0.0000 0.0000  6 Mn 2.65, 3 Tb 2.94
Ga 0.6667 0.3333 0.5000  3 Mn 2.80, 6 Tb 2.98
Ge 0.3333 0.6667 0.5000  3 Mn 2.76, 6 Tb 2.96

=====

# 6
# CuRe3B

An optimized crystal structure of CuRe3B (GGA-PBE, Alexandria via LeMat-Bulk).

Values from the calculation:
ΔE_f   2.908 eV per atom
Excess energy over the best structure of this formula in the dataset   2387 meV/atom
E   -6.72 eV per atom

a = 4.4040 Å, b = 4.4040 Å, c = 4.4040 Å
α = 90.00°, β = 90.00°, γ = 90.00°
Closest atoms and distances in Å follow each position.
Atoms (fractional coordinates):
Cu 0.0000 0.0000 0.0000  6 Re 2.20
Re 0.0000 0.0000 0.5000  2 Cu 2.20
Re 0.0000 0.5000 0.0000  2 Cu 2.20
Re 0.5000 0.0000 0.0000  2 Cu 2.20
B 0.5000 0.5000 0.5000  12 Re 3.11